No. 1
A plane-wave DFT calculation with PBE was carried out for a relaxed structure of Sr2La6TcN.

The structure in POSCAR format:
```
Sr2La6TcN
1.0
-3.847 3.847 6.038
3.847 -3.847 6.038
3.847 3.847 -6.038
Sr La Tc N
2 6 1 1
direct
0.000 0.500 0.500 Sr
0.500 0.000 0.500 Sr
0.000 0.000 0.000 La
0.475 0.475 0.000 La
0.521 0.521 0.540 La
0.521 0.981 0.000 La
0.981 0.521 0.000 La
0.981 0.981 0.460 La
0.270 0.270 0.000 Tc
0.810 0.810 0.000 N
```

Computed properties:
Uncorrected formation energy: -1.45 eV per formula unit
Total moment: 0.00 Bohr magnetons per cell

---

No. 2
A plane-wave DFT calculation with PBE was carried out for a relaxed structure of SrLa2ThN4.

The structure in POSCAR format:
```
SrLa2ThN4
1.0
6.454 0.000 0.000
0.000 3.749 0.000
-2.120 0.000 6.101
Sr La Th N
1 2 1 4
direct
0.000 0.000 0.000 Sr
0.000 0.500 0.500 La
0.500 0.000 0.500 La
0.500 0.500 0.000 Th
0.263 0.000 0.754 N
0.279 0.500 0.248 N
0.721 0.500 0.752 N
0.737 0.000 0.246 N
```

Computed properties:
Uncorrected formation energy: -10.11 eV per formula unit
Total moment: 0.00 Bohr magnetons per cell

---

No. 3
A plane-wave DFT calculation with PBE was carried out for a relaxed structure of SrLaTi2N.

The structure in POSCAR format:
```
SrLaTi2N
1.0
4.319 0.000 0.000
0.000 4.319 0.000
0.000 0.000 5.455
Sr La Ti N
1 1 2 1
direct
0.000 0.000 0.000 Sr
0.500 0.500 0.000 La
0.000 0.500 0.500 Ti
0.500 0.000 0.500 Ti
0.500 0.500 0.500 N
```

Computed properties:
Uncorrected formation energy: -0.76 eV per formula unit
Total moment: 0.00 Bohr magnetons per cell

---

No. 4
A plane-wave DFT calculation with PBE was carried out for a relaxed structure of Sr2LaTlN.

The structure in POSCAR format:
```
Sr2LaTlN
1.0
5.423 0.000 0.000
0.000 5.423 0.000
0.000 0.000 4.937
Sr La Tl N
2 1 1 1
direct
0.000 0.500 0.000 Sr
0.500 0.000 0.000 Sr
0.000 0.000 0.500 La
0.500 0.500 0.500 Tl
0.000 0.000 0.000 N
```

Computed properties:
Uncorrected formation energy: -3.17 eV per formula unit
Total moment: 0.00 Bohr magnetons per cell

---

No. 5
A plane-wave DFT calculation with PBE was carried out for a relaxed structure of SrLa2TlN.

The structure in POSCAR format:
```
SrLa2TlN
1.0
5.127 0.000 0.000
0.000 5.127 0.000
0.000 0.000 5.292
Sr La Tl N
1 2 1 1
direct
0.000 0.000 0.000 Sr
0.000 0.500 0.500 La
0.500 0.000 0.500 La
0.500 0.500 0.000 Tl
0.000 0.000 0.500 N
```

Computed properties:
Uncorrected formation energy: -3.70 eV per formula unit
Total moment: 0.00 Bohr magnetons per cell

---

No. 6
A plane-wave DFT calculation with PBE was carried out for a relaxed structure of Sr2La3UN6.

The structure in POSCAR format:
```
Sr2La3UN6
1.0
3.201 -5.562 0.000
3.201 5.562 0.000
-2.118 0.000 5.990
Sr La U N
2 3 1 6
direct
0.167 0.833 0.000 Sr
0.833 0.167 0.000 Sr
0.000 0.000 0.500 La
0.338 0.662 0.500 La
0.662 0.338 0.500 La
0.500 0.500 0.000 U
0.150 0.422 0.771 N
0.296 0.296 0.249 N
0.422 0.150 0.771 N
0.578 0.850 0.229 N
0.704 0.704 0.751 N
0.850 0.578 0.229 N
```

Computed properties:
Uncorrected formation energy: -14.93 eV per formula unit
Total moment: 0.00 Bohr magnetons per cell

---

No. 7
A plane-wave DFT calculation with PBE was carried out for a relaxed structure of SrLa2VN4.

The structure in POSCAR format:
```
SrLa2VN4
1.0
1.782 -6.193 0.000
1.782 6.193 0.000
0.000 0.000 12.584
Sr La V N
2 4 2 8
direct
0.097 0.903 0.750 Sr
0.903 0.097 0.250 Sr
0.369 0.631 0.542 La
0.369 0.631 0.958 La
0.631 0.369 0.042 La
0.631 0.369 0.458 La
0.179 0.821 0.250 V
0.821 0.179 0.750 V
0.000 0.000 0.000 N
0.000 0.000 0.500 N
0.265 0.735 0.135 N
0.265 0.735 0.365 N
0.395 0.605 0.750 N
0.605 0.395 0.250 N
0.735 0.265 0.635 N
0.735 0.265 0.865 N
```

Computed properties:
Uncorrected formation energy: -9.05 eV per formula unit
Total moment: 0.68 Bohr magnetons per cell

---

No. 8
A plane-wave DFT calculation with PBE was carried out for a relaxed structure of SrLaVN3.

The structure in POSCAR format:
```
SrLaVN3
1.0
6.805 -1.952 0.000
6.805 1.952 0.000
-2.053 0.000 7.147
Sr La V N
2 2 2 6
direct
0.145 0.145 0.071 Sr
0.855 0.855 0.929 Sr
0.154 0.154 0.582 La
0.846 0.846 0.418 La
0.500 0.500 0.287 V
0.500 0.500 0.713 V
0.002 0.002 0.302 N
0.352 0.352 0.676 N
0.356 0.356 0.182 N
0.644 0.644 0.818 N
0.648 0.648 0.324 N
0.998 0.998 0.698 N
```

Computed properties:
Uncorrected formation energy: -5.80 eV per formula unit
Total moment: 0.00 Bohr magnetons per cell

---

- Among the records above, which one has the lowest uncorrected formation energy?
  Sr2La3UN6